# 1
HgTe2WO | Alexandria via LeMat-Bulk | GGA+U | relaxed; SG = P4/mmm (123); electronic total energy = -2.748 eV per atom; density = 6.85 Mg/m³; magnetic moment = 2.7 μB/f.u.
1.0
-3.492 3.832 -1.244
-3.890 -3.884 -1.043
-1.578 0.214 5.088
Te O W Hg
2 1 1 1
Direct
0.500 0.000 0.000
0.000 0.000 0.500
0.500 0.500 0.500
0.000 0.000 0.000
0.000 0.500 0.000


# 2
HgTeWO2 | Alexandria via LeMat-Bulk | GGA+U | relaxed; SG = P4/mmm (123); electronic total energy = -3.354 eV per atom; density = 8.30 Mg/m³; magnetic moment = 2.8 μB/f.u.
1.0
4.155 0.000 0.000
0.000 6.301 0.000
0.000 0.000 4.155
Hg O Te W
1 2 1 1
Direct
0.000 0.000 0.000
0.500 0.000 0.000
0.000 0.000 0.500
0.500 0.500 0.500
0.000 0.500 0.000